Compound: CePuTh2
Source: the Alexandria database
Functional: PBE-GGA
Structure: relaxed

The value obtained for the energy relative to the lowest polymorph listed for this composition is 0.1378 eV per atom.

a = 5.4830 Å, b = 5.4830 Å, c = 5.4830 Å
α = 60.00°, β = 60.00°, γ = 60.00°
Each line ends with the local moment (μB).
Fractional positions:
Ce: 0.5000 0.5000 0.5000  0.28
Th: 0.2500 0.2500 0.2500  0.26
Th: 0.7500 0.7500 0.7500  0.26
Pu: 0.0000 0.0000 0.0000  5.52

---

Compound: Ce4PuTh5
Source: the Alexandria database
Functional: PBE-GGA
Structure: relaxed

Its total energy is -7.48 eV per atom.

a = 3.4957 Å, b = 3.4957 Å, c = 23.9791 Å
α = 90.00°, β = 90.00°, γ = 90.00°
Each line ends with the local moment (μB).
Fractional positions:
Ce: 0.0000 0.0000 0.1979  0.01
Ce: 0.0000 0.0000 0.3992  0.03
Ce: 0.0000 0.0000 0.6008  0.03
Ce: 0.0000 0.0000 0.8021  0.01
Pu: 0.0000 0.0000 0.0000  -5.19
Th: 0.5000 0.5000 0.0970  0.01
Th: 0.5000 0.5000 0.2985  -0.01
Th: 0.5000 0.5000 0.5000  -0.01
Th: 0.5000 0.5000 0.7015  -0.01
Th: 0.5000 0.5000 0.9030  0.01

---

Compound: CePuTh2
Source: the Alexandria database
Functional: PBE-GGA
Structure: relaxed

The value obtained for the energy relative to the lowest polymorph listed for this composition is 0.8757 eV per atom.

a = 3.6843 Å, b = 3.6843 Å, c = 10.4928 Å
α = 79.89°, β = 79.89°, γ = 60.00°
Each line ends with the local moment (μB).
Fractional positions:
Ce: 0.0000 0.0000 0.0000  1.18
Th: 0.1112 0.1112 0.6665  0.04
Th: 0.8888 0.8888 0.3335  0.04
Pu: 0.5000 0.5000 0.5000  0.14

---

Number 1: spin magnetization 7.06 μB per cell. Number 2: spin magnetization 5.29 μB per cell. Number 3: spin magnetization 1.90 μB per cell.